Record 1
Material: CaCd4Ag5
Method: DFT, PBE
State: relaxed

Calculated values
Total magnetic moment   0.0 μB/f.u.
DOS(E_F)   0.225 states/eV per atom
Electronic total energy   -2.09 eV per atom

Lattice parameters (Å, degrees): 3.499 3.499 16.778 90.00 90.00 90.00
Space group P4/mmm (No. 123)
Symmetry-distinct sites (fractional):
Ca: 0.000 0.000 0.000
Cd: 0.000 0.000 0.211
Cd: 0.000 0.000 0.404
Ag: 0.500 0.500 0.118
Ag: 0.500 0.500 0.308
Ag: 0.500 0.500 0.500

Record 2
Material: CsMoI3
Method: DFT, PBE
State: relaxed

Calculated values
Total magnetic moment   4.0 μB/f.u.
DOS(E_F)   2.373 states/eV per atom
Energy relative to the elements, uncorrected   0.834 eV per atom
Electronic total energy   -2.43 eV per atom
Energy above the most stable polymorph in this dataset   1275 meV/atom

Lattice parameters (Å, degrees): 7.022 7.022 7.022 90.00 90.00 90.00
Space group Pm-3m (No. 221)
Symmetry-distinct sites (fractional):
Cs: 0.000 0.000 0.000
Mo: 0.500 0.500 0.500
I: 0.000 0.000 0.500

Record 3
Material: GaPtO3
Method: DFT, PBE
State: relaxed

Calculated values
Total magnetic moment   0.5 μB/f.u.
DOS(E_F)   0.507 states/eV per atom
Energy relative to the elements, uncorrected   -0.934 eV per atom
Electronic total energy   -5.72 eV per atom

Lattice parameters (Å, degrees): 3.126 5.616 10.570 90.00 90.00 90.00
Space group Amm2 (No. 38)
Symmetry-distinct sites (fractional):
Ga: 0.000 0.000 0.000
Pt: 0.500 0.000 0.612
O: 0.000 0.220 0.611
O: 0.500 0.000 0.918